A plane-wave DFT calculation with PBE was carried out for an optimized crystal structure of ZrCd2AsCl.

Computed properties:
Space-group type: No. 123
ΔE_f (raw) (eV/atom): 0.15

Lattice parameters (Å, degrees): 5.276 5.149 5.276 90.00 90.00 90.00
Sites, in units of the cell vectors:
Cl: 0.500 0.500 0.500
Zr: 0.000 0.500 0.000
As: 0.000 0.000 0.000
Cd: 0.000 0.000 0.500
Cd: 0.500 0.000 0.000



A plane-wave DFT calculation with PBE was carried out for an optimized crystal structure of CdCoAs2.

Computed properties:
Space-group type: No. 122
DFT formation energy (eV per atom): 0.100

Lattice parameters (Å, degrees): 5.823 5.823 6.793 64.62 64.62 90.00
Sites, in units of the cell vectors:
Cd: 0.750 0.250 0.500
Cd: 0.000 0.000 0.000
Co: 0.500 0.500 0.000
Co: 0.250 0.750 0.500
As: 0.199 0.625 0.250
As: 0.551 0.125 0.250
As: 0.375 0.449 0.750
As: 0.875 0.801 0.750



A plane-wave DFT calculation with PBE was carried out for an optimized crystal structure of CdCoAs2.

Computed properties:
Space-group type: No. 166
DFT formation energy (eV per atom): 0.027

Lattice parameters (Å, degrees): 9.836 9.836 9.836 17.39 17.39 17.39
Sites, in units of the cell vectors:
Cd: 0.250 0.250 0.250
As: 0.024 0.024 0.024
As: 0.476 0.476 0.476
Co: 0.750 0.750 0.750



A plane-wave DFT calculation with PBE was carried out for an optimized crystal structure of CdCoAs2.

Computed properties:
Space-group type: No. 123
DFT formation energy (eV per atom): 0.017

Lattice parameters (Å, degrees): 2.873 2.873 9.413 90.00 90.00 90.00
Each line ends with the local moment (μB).
Sites, in units of the cell vectors:
As: 0.000 0.000 0.911  0.01
As: 0.000 0.000 0.589  0.01
Cd: 0.500 0.500 0.250  0.01
Co: 0.500 0.500 0.750  0.54



A plane-wave DFT calculation with PBE was carried out for an optimized crystal structure of CdCoAs.

Computed properties:
Space-group type: No. 156
Distance to the lowest polymorph of the same formula (meV per atom): 19
DFT formation energy (eV per atom): 0.035

Lattice parameters (Å, degrees): 3.124 3.124 6.203 90.00 90.00 120.00
Sites, in units of the cell vectors:
Co: 0.667 0.333 0.702
Cd: 0.333 0.667 0.367
As: 0.000 0.000 0.931



A plane-wave DFT calculation with PBE was carried out for an optimized crystal structure of Cd2CoAs2.

Computed properties:
Space-group type: No. 127
DFT formation energy (eV per atom): 0.036

Lattice parameters (Å, degrees): 6.008 6.008 5.384 90.00 90.00 90.00
Sites, in units of the cell vectors:
As: 0.351 0.851 0.000
As: 0.649 0.149 0.000
As: 0.851 0.649 0.000
As: 0.149 0.351 0.000
Cd: 0.814 0.314 0.500
Cd: 0.686 0.814 0.500
Cd: 0.186 0.686 0.500
Cd: 0.314 0.186 0.500
Co: 0.500 0.500 0.000
Co: 0.000 0.000 0.000



What did we get for volume? Answer: 143; 183; 74; 78; 52; 194 Å³ per cell, in the order shown.